Entry 1:
! La12SmAl4N3 (GGA-PBE, optimized geometry); values from VASP
! - space group = No. 229
! - formation energy from raw total energies (eV/f.u.) = -8.5
&SYSTEM
  ibrav = 0, nat = 20, ntyp = 4
/
ATOMIC_SPECIES
La 138.91 La.upf
Sm 150.36 Sm.upf
Al 26.98 Al.upf
N 14.01 N.upf
CELL_PARAMETERS angstrom
-5.172 5.172 5.172
5.172 -5.172 5.172
5.172 5.172 -5.172
ATOMIC_POSITIONS crystal
La 0.000 0.274 0.274
La 0.000 0.726 0.726
La 0.250 0.500 0.750
La 0.250 0.750 0.500
La 0.274 0.000 0.274
La 0.274 0.274 0.000
La 0.500 0.250 0.750
La 0.500 0.750 0.250
La 0.726 0.000 0.726
La 0.726 0.726 0.000
La 0.750 0.250 0.500
La 0.750 0.500 0.250
Sm 0.000 0.000 0.000
Al 0.000 0.000 0.500
Al 0.000 0.500 0.000
Al 0.500 0.000 0.000
Al 0.500 0.500 0.500
N 0.000 0.500 0.500
N 0.500 0.000 0.500
N 0.500 0.500 0.000

=====

Entry 2:
! Sr2LaAlN (GGA-PBE, optimized geometry); values from VASP
! - space group = No. 123
! - formation energy from raw total energies (eV/f.u.) = -2.5
&SYSTEM
  ibrav = 0, nat = 5, ntyp = 4
/
ATOMIC_SPECIES
Sr 87.62 Sr.upf
La 138.91 La.upf
Al 26.98 Al.upf
N 14.01 N.upf
CELL_PARAMETERS angstrom
5.351 0.000 0.000
0.000 5.351 0.000
0.000 0.000 4.938
ATOMIC_POSITIONS crystal
Sr 0.000 0.500 0.000
Sr 0.500 0.000 0.000
La 0.000 0.000 0.500
Al 0.500 0.500 0.500
N 0.000 0.000 0.000

=====

Entry 3:
! La2TaAlN (GGA-PBE, optimized geometry); values from VASP
! - space group = No. 123
! - formation energy from raw total energies (eV/f.u.) = -0.7
&SYSTEM
  ibrav = 0, nat = 5, ntyp = 4
/
ATOMIC_SPECIES
La 138.91 La.upf
Ta 180.95 Ta.upf
Al 26.98 Al.upf
N 14.01 N.upf
CELL_PARAMETERS angstrom
5.239 0.000 0.000
0.000 5.239 0.000
0.000 0.000 3.834
ATOMIC_POSITIONS crystal
La 0.000 0.500 0.000
La 0.500 0.000 0.000
Ta 0.000 0.000 0.500
Al 0.500 0.500 0.500
N 0.500 0.500 0.000